Zr3TaZn: optimized geometry, GGA-PBE.

The structure in POSCAR format:
```
Zr3TaZn
1.0
-3.771 2.465 -2.445
0.947 -2.743 -4.226
-3.340 -3.561 1.563
Zn Zr Ta
1 3 1
direct
0.500 0.500 0.500
0.000 0.500 0.000
0.000 0.000 0.500
0.500 0.000 0.000
0.000 0.000 0.000
```

Properties
formation energy = 1.0043 eV/atom
ΔE to the lowest computed polymorph = 80.7 meV per atom
SG = No. 221

***

ZrTaZn2: optimized geometry, GGA-PBE.

The structure in POSCAR format:
```
ZrTaZn2
1.0
5.125 0.003 0.013
4.276 2.824 0.013
0.866 0.260 5.010
Ta Zn Zr
1 2 1
direct
0.250 0.250 0.250
0.996 0.996 0.018
0.504 0.504 0.482
0.750 0.750 0.750
```

Properties
formation energy = 0.0801 eV/atom
SG = No. 12

***

Zr4TaZn3: optimized geometry, GGA-PBE.

The structure in POSCAR format:
```
Zr4TaZn3
1.0
3.369 0.000 0.000
0.000 3.369 0.000
0.000 0.000 13.574
Zn Zr Ta
3 4 1
direct
0.500 0.500 0.255
0.500 0.500 0.500
0.500 0.500 0.745
0.000 0.000 0.870
0.000 0.000 0.130
0.000 0.000 0.377
0.000 0.000 0.623
0.500 0.500 0.000
```

Properties
formation energy = -0.1723 eV/atom
SG = No. 123

***

ZrTa2Zn: optimized geometry, GGA-PBE.

The structure in POSCAR format:
```
ZrTa2Zn
1.0
2.848 0.000 0.000
0.000 2.848 0.000
0.000 0.000 9.088
Ta Zn Zr
2 1 1
direct
0.000 0.000 0.007
0.500 0.500 0.265
0.000 0.000 0.491
0.500 0.500 0.736
```

Properties
formation energy = 0.0588 eV/atom
SG = No. 99

***

ZrTaZn2: optimized geometry, GGA-PBE.

The structure in POSCAR format:
```
ZrTaZn2
1.0
-0.197 -0.193 -3.947
-2.020 -2.093 0.203
-6.310 2.094 0.213
Ta Zn Zr
1 2 1
direct
0.500 0.750 0.750
0.000 0.017 0.982
0.000 0.483 0.518
0.500 0.250 0.250
```

Properties
formation energy = -0.0977 eV/atom
SG = No. 10

***

Zr6TaZn5: optimized geometry, GGA-PBE.

The structure in POSCAR format:
```
Zr6TaZn5
1.0
4.575 0.018 -1.334
-0.920 5.902 -3.074
-0.083 0.451 8.231
Zn Zr Ta
5 6 1
direct
0.663 0.163 0.326
0.332 0.332 0.665
0.000 0.500 0.000
0.668 0.668 0.335
0.337 0.837 0.674
0.833 0.583 0.666
0.833 0.083 0.666
0.500 0.748 0.000
0.500 0.252 0.000
0.167 0.917 0.334
0.167 0.417 0.334
0.000 0.000 0.000
```

Properties
formation energy = -0.1974 eV/atom
SG = No. 71